1.
Crystalline NdDyHoTm at its relaxed geometry, computed with PBE.

Structure (POSCAR):
```
NdDyHoTm
1.0
1.787 1.032 11.531
-1.787 1.032 11.531
0.000 -2.064 11.531
Nd Dy Ho Tm
1 1 1 1
Direct
0.000 0.000 0.000
0.248 0.248 0.248
0.833 0.833 0.833
0.418 0.418 0.418
```

ΔH_f (0 K), meV/atom: 23
Uncorrected energy, eV/cell: -18.33
D(E_F), states/eV/cell: 5.566
Offset from the most stable computed form, eV per atom: 0.000
Symmetry: R3m (160)

=====

2.
Crystalline InCoTc2Cl at its relaxed geometry, computed with PBE.

Structure (POSCAR):
```
InCoTc2Cl
1.0
4.565 0.000 0.000
0.000 4.565 0.000
0.000 0.000 4.990
In Co Tc Cl
1 1 2 1
Direct
0.000 0.000 0.000
0.000 0.000 0.500
0.000 0.500 0.500
0.500 0.000 0.500
0.500 0.500 0.000
```

Formation energy (no corrections), eV/atom: 1.111
Uncorrected energy, eV/cell: -26.87
D(E_F), states/eV/cell: 5.951
Symmetry: P4/mmm (123)